6
Lattice="3.555 0.000 0.000 0.000 3.555 0.000 0.000 0.000 9.193" Properties=species:S:1:pos:R:3 comment="PBE ScAsP, relaxed" n_ef_per_ev_atom=0.40 formation_enthalpy_0k_ev_per_atom=-0.70 e_tot_ev_per_atom=-6.1650 pbc="T T T"
Sc 0.000 0.000 0.000
Sc 1.778 1.778 4.597
As 0.000 0.000 6.101
As 1.778 1.778 1.504
P 0.000 0.000 3.728
P 1.778 1.778 8.325